[1]
# PBE K3HfAl, optimized geometry
data_K3HfAl
_chemical_formula_sum 'K3 Hf1 Al1'
_space_group_name_H-M_alt 'P m -3 m'
_space_group_IT_number 221
_space_group_name_Hall '-P 4 2 3'
_cell_length_a 6.480
_cell_length_b 6.480
_cell_length_c 6.480
_cell_angle_alpha 90.00
_cell_angle_beta 90.00
_cell_angle_gamma 90.00
loop_
_atom_site_label
_atom_site_fract_x
_atom_site_fract_y
_atom_site_fract_z
K1 0.000 0.000 0.500
Hf1 0.500 0.500 0.500
Al1 0.000 0.000 0.000
# * ΔE_f: 1.35 eV/atom
# * ΔE to the lowest computed polymorph: 0 meV per atom

[2]
# PBE CaI2O, optimized geometry
data_CaI2O
_chemical_formula_sum 'Ca4 I8 O4'
_space_group_name_H-M_alt 'F m -3 m'
_space_group_IT_number 225
_space_group_name_Hall '-F 4 2 3'
_cell_length_a 7.676
_cell_length_b 7.676
_cell_length_c 7.676
_cell_angle_alpha 90.00
_cell_angle_beta 90.00
_cell_angle_gamma 90.00
loop_
_atom_site_label
_atom_site_fract_x
_atom_site_fract_y
_atom_site_fract_z
Ca1 0.000 0.000 0.000
I1 0.250 0.250 0.250
O1 0.000 0.000 0.500
# * energy relative to the elements, uncorrected: -0.44 eV per atom
# * ΔE to the lowest computed polymorph: 4 meV per atom